The following is a DFT calculation (PBE) of crystalline ZnGa2Hg2 at its relaxed geometry.

Unit cell a=4.3770 b=4.3770 c=6.9230 alpha=71.57 beta=71.57 gamma=90.00
With the nearest neighbours (Å) after each atom.
Fractional coordinates of all 5 atoms:
Hg 0.2500 0.7500 0.5000  4 Ga 2.86, 4 Hg 3.10
Hg 0.7500 0.2500 0.5000  4 Ga 2.86, 4 Hg 3.10
Zn 0.0000 0.0000 0.0000  8 Ga 3.34
Ga 0.6013 0.6013 0.7974  1 Ga 2.51
Ga 0.3987 0.3987 0.2026  1 Ga 2.51

Summary:
* electronic total energy: -1.350 eV/atom

***

The following is a DFT calculation (PBE) of crystalline SrYAsPb2 at its relaxed geometry.

Unit cell a=6.6495 b=5.5592 c=6.6495 alpha=90.00 beta=90.00 gamma=90.00
With the nearest neighbours (Å) after each atom.
Fractional coordinates of all 5 atoms:
Sr 0.5000 0.5000 0.5000  8 Pb 4.33, 4 As 4.70
Y 0.0000 0.0000 0.0000  2 As 2.78
Pb 0.0000 0.0000 0.5000  2 Y 3.32
As 0.0000 0.5000 0.0000  2 Y 2.78
Pb 0.5000 0.0000 0.0000  2 Y 3.32

Summary:
* electronic total energy: -3.972 eV/atom